Entry 1:
A relaxed Hg4P2Br5 crystal. Source: Alexandria via LeMat-Bulk, functional PBE.

## Properties
Formation energy without anion corrections (eV per atom): -0.230
Density (g/cm3): 6.36
M_tot (μB per cell): 0.00

Unit cell a=4.1478 b=8.8864 c=9.5727 alpha=106.14 beta=102.47 gamma=90.70
With the nearest neighbours (Å) after each atom.
Space group P-1 (No. 2)
One atom of each set of equivalent atoms:
Hg1 0.0125 0.2570 0.0177  2 P 2.61-2.62, 1 Br 2.71
Hg2 0.3306 0.9116 0.6636  1 P 2.49, 1 Br 2.58
P1 0.4664 0.0749 0.9297  1 P 2.12
Br1 0.1670 0.3337 0.3205  1 Hg 2.71
Br2 0.1839 0.8118 0.3760  1 Hg 2.58
Br3 0.5000 0.5000 0.0000  4 Hg 3.00-3.06

Entry 2:
A relaxed HgP4Br crystal. Source: Alexandria via LeMat-Bulk, functional PBE.

## Properties
Formation energy without anion corrections (eV per atom): 0.222
Density (g/cm3): 4.21
M_tot (μB per cell): 0.94

Unit cell a=8.6116 b=8.6116 c=8.6116 alpha=90.00 beta=90.00 gamma=90.00
With the nearest neighbours (Å) after each atom.
Space group F-43m (No. 216)
One atom of each set of equivalent atoms:
Hg1 0.0000 0.0000 0.0000  12 P 3.69, 4 Br 3.73
P1 0.0908 0.0908 0.5908  3 P 2.21
Br1 0.2500 0.2500 0.2500  12 P 3.52, 4 Hg 3.73